1.
Material: LiAcHoRu
Method: DFT, PBE-GGA
State: optimized geometry

abc: 5.1202 5.1202 5.1202
angles: 60.00 60.00 60.00
Positions (direct):
Ru (0.0000, 0.0000, 0.0000)
Ac (0.7500, 0.7500, 0.7500)
Ho (0.2500, 0.2500, 0.2500)
Li (0.5000, 0.5000, 0.5000)

Calculated values
Formation energy = -0.1182 eV/atom
Energy = -5.087 eV per atom
DOS(E_F) = 2.735 states/eV per cell

=====

2.
Material: Li2AcHoS4
Method: DFT, PBE-GGA
State: optimized geometry

abc: 4.0840 6.6746 7.1448
angles: 68.67 90.00 90.00
Positions (direct):
S (0.5000, 0.2415, 0.7766)
S (0.5000, 0.7585, 0.2234)
Li (0.5000, 0.0000, 0.5000)
Ac (0.0000, 0.5000, 0.5000)
S (0.0000, 0.2478, 0.2355)
Ho (0.5000, 0.5000, 0.0000)
Li (0.0000, 0.0000, 0.0000)
S (0.0000, 0.7522, 0.7645)

Calculated values
Energy = -5.413 eV per atom
DOS(E_F) = 0.000 states/eV per cell

=====

3.
Material: Li3AcHo2S6
Method: DFT, PBE-GGA
State: optimized geometry

abc: 7.0261 7.0261 6.5913
angles: 99.43 99.43 120.49
Positions (direct):
Ho (0.6656, 0.3344, 0.0000)
Ho (0.3344, 0.6656, 0.0000)
S (0.9226, 0.5673, 0.7499)
Li (0.1853, 0.8147, 0.5000)
S (0.0774, 0.4327, 0.2501)
Li (0.5000, 0.5000, 0.5000)
S (0.7227, 0.7227, 0.2532)
Li (0.8147, 0.1853, 0.5000)
S (0.2773, 0.2773, 0.7468)
S (0.5673, 0.9226, 0.7499)
Ac (0.0000, 0.0000, 0.0000)
S (0.4327, 0.0774, 0.2501)

Calculated values
Energy = -5.462 eV per atom
DOS(E_F) = 0.000 states/eV per cell

=====

4.
Material: Li3Ac2HoS6
Method: DFT, PBE-GGA
State: optimized geometry

abc: 7.3671 7.3671 6.5557
angles: 98.60 98.60 122.01
Positions (direct):
Li (0.1237, 0.8763, 0.5000)
S (0.3771, 0.0724, 0.2539)
S (0.0724, 0.3771, 0.2539)
Ac (0.6701, 0.3299, 0.0000)
Ho (0.0000, 0.0000, 0.0000)
Li (0.5000, 0.5000, 0.5000)
Li (0.8763, 0.1237, 0.5000)
S (0.7534, 0.7534, 0.2511)
S (0.9276, 0.6229, 0.7461)
S (0.6229, 0.9276, 0.7461)
Ac (0.3299, 0.6701, 0.0000)
S (0.2466, 0.2466, 0.7489)

Calculated values
Energy = -5.408 eV per atom
DOS(E_F) = 0.000 states/eV per cell

=====

5.
Material: LiAc2HoS4
Method: DFT, PBE-GGA
State: optimized geometry

abc: 4.1153 7.0527 7.1215
angles: 70.36 90.00 90.00
Positions (direct):
Li (0.5000, 0.5000, 0.0000)
Ac (0.0000, 0.0000, 0.0000)
Ho (0.0000, 0.5000, 0.5000)
S (0.5000, 0.2811, 0.7409)
S (0.0000, 0.7213, 0.7579)
Ac (0.5000, 0.0000, 0.5000)
S (0.5000, 0.7189, 0.2591)
S (0.0000, 0.2787, 0.2421)

Calculated values
Energy = -5.776 eV per atom
DOS(E_F) = 2.833 states/eV per cell

=====

6.
Material: LiAc2HoS5
Method: DFT, PBE-GGA
State: optimized geometry

abc: 4.1370 8.7411 12.2371
angles: 90.00 90.00 103.69
Positions (direct):
S (0.5000, 0.0000, 0.7836)
S (0.2881, 0.5762, 0.6553)
Ho (0.8024, 0.6049, 0.5041)
S (0.0485, 0.0971, 0.0615)
S (0.6931, 0.3862, 0.8545)
Ac (0.8742, 0.7483, 0.8010)
Ac (0.8909, 0.7817, 0.1859)
Ac (0.1258, 0.2517, 0.3010)
S (0.3069, 0.6138, 0.3545)
S (0.6399, 0.2799, 0.4999)
S (0.3601, 0.7201, 0.9999)
Li (0.5200, 0.0400, 0.9781)
Ac (0.1091, 0.2183, 0.6859)
S (0.9515, 0.9029, 0.5615)
S (0.5000, 0.0000, 0.2836)
Li (0.4800, 0.9600, 0.4781)
Ho (0.1976, 0.3951, 0.0041)
S (0.7119, 0.4238, 0.1553)

Calculated values
Energy = -5.947 eV per atom